Entry 1:
Entry from Alexandria via LeMat-Bulk: NbP2Rh at its PBEsol-relaxed geometry (SCAN).

Unit cell a=6.0164 b=6.0164 c=6.0164 alpha=90.00 beta=90.00 gamma=90.00
Closest atoms and distances in Å follow each position.
Space group Fm-3m (No. 225)
Symmetry-distinct sites (fractional):
Nb: 0.0000 0.0000 0.0000 x4  8 P 2.61
P: 0.2500 0.2500 0.2500 x8  4 Nb 2.61, 4 Rh 2.61
Rh: 0.0000 0.0000 0.5000 x4  8 P 2.61

E_tot = -0.8222 Ha/atom
calculated formation energy = -0.448 eV/atom

***

Entry 2:
Entry from Alexandria via LeMat-Bulk: Sc2InSb at its PBEsol-relaxed geometry (SCAN).

Unit cell a=7.0902 b=7.0902 c=7.0902 alpha=90.00 beta=90.00 gamma=90.00
Closest atoms and distances in Å follow each position.
Space group Fm-3m (No. 225)
Symmetry-distinct sites (fractional):
Sc: 0.2500 0.2500 0.2500 x8  4 In 3.07, 4 Sb 3.07
In: 0.0000 0.0000 0.0000 x4  8 Sc 3.07
Sb: 0.0000 0.0000 0.5000 x4  8 Sc 3.07

E_tot = -0.9301 Ha/atom
E above lowest polymorph = 177 meV/atom
formation energy (no corrections) = -0.528 eV/atom

***

Entry 3:
Entry from Alexandria via LeMat-Bulk: AgAu at its PBEsol-relaxed geometry (SCAN).

Unit cell a=2.7545 b=10.8458 c=4.5167 alpha=90.00 beta=90.00 gamma=90.00
Closest atoms and distances in Å follow each position.
Space group Cmcm (No. 63)
Symmetry-distinct sites (fractional):
Ag: 0.0000 0.0705 0.2500 x4  4 Ag 2.73-2.75, 7 Au 2.78-2.98
Au: 0.0000 0.3264 0.2500 x4  2 Au 2.75, 7 Ag 2.78-2.98

E_tot = -1.8481 Ha/atom
calculated formation energy = -0.027 eV/atom

***

Entry 4:
Entry from Alexandria via LeMat-Bulk: GaGeI at its PBEsol-relaxed geometry (SCAN).

Unit cell a=4.2696 b=20.9479 c=4.0022 alpha=90.00 beta=90.00 gamma=90.00
Closest atoms and distances in Å follow each position.
Space group Cmcm (No. 63)
Symmetry-distinct sites (fractional):
Ga: 0.0000 0.0911 0.2500 x4  2 Ge 2.44, 2 I 2.72
Ge: 0.0000 0.4655 0.7500 x4  2 Ga 2.44, 2 Ge 2.47
I: 0.0000 0.1788 0.7500 x4  2 Ga 2.72

E_tot = -0.8928 Ha/atom
formation energy (no corrections) = -0.235 eV/atom

***

Entry 5:
Entry from Alexandria via LeMat-Bulk: MnCu2Te at its PBEsol-relaxed geometry (SCAN).

Unit cell a=3.8695 b=3.8695 c=3.9440 alpha=90.00 beta=90.00 gamma=90.00
Closest atoms and distances in Å follow each position.
Space group P4/mmm (No. 123)
Symmetry-distinct sites (fractional):
Mn: 0.0000 0.0000 0.0000 x1  4 Te 2.74, 8 Cu 2.76
Cu: 0.0000 0.5000 0.5000 x2  4 Cu 2.74, 4 Mn 2.76, 4 Te 2.76
Te: 0.5000 0.5000 0.0000 x1  4 Mn 2.74, 8 Cu 2.76

E_tot = -0.7879 Ha/atom
formation energy (no corrections) = 0.038 eV/atom

***

Entry 6:
Entry from Alexandria via LeMat-Bulk: HgAuSe2 at its PBEsol-relaxed geometry (SCAN).

Unit cell a=5.9739 b=5.9739 c=11.9521 alpha=90.00 beta=90.00 gamma=90.00
Closest atoms and distances in Å follow each position.
Space group I-42d (No. 122)
Symmetry-distinct sites (fractional):
Hg: 0.0000 0.0000 0.0000 x4  4 Se 2.66
Au: 0.0000 0.0000 0.5000 x4  4 Se 2.52
Se: 0.2300 0.2500 0.6250 x8  2 Au 2.52, 2 Hg 2.66

E_tot = -1.6313 Ha/atom
formation energy (no corrections) = -0.020 eV/atom

***

Entry 7:
Entry from Alexandria via LeMat-Bulk: Mn2SbAuCl at its PBEsol-relaxed geometry (SCAN).

Unit cell a=5.1006 b=5.1006 c=5.0524 alpha=90.00 beta=90.00 gamma=90.00
Closest atoms and distances in Å follow each position.
Space group P4/mmm (No. 123)
Symmetry-distinct sites (fractional):
Mn: 0.0000 0.5000 0.0000 x2  2 Au 2.55
Sb: 0.0000 0.0000 0.5000 x1  2 Au 2.53
Au: 0.0000 0.0000 0.0000 x1  2 Sb 2.53, 4 Mn 2.55
Cl: 0.5000 0.5000 0.5000 x1  8 Mn 3.59, 4 Sb 3.61

E_tot = -1.1065 Ha/atom
formation energy (no corrections) = 0.073 eV/atom

***

Entry 8:
Entry from Alexandria via LeMat-Bulk: LiLaS2Cl at its PBEsol-relaxed geometry (SCAN).

Unit cell a=4.5269 b=4.5269 c=4.5671 alpha=90.00 beta=90.00 gamma=90.00
Closest atoms and distances in Å follow each position.
Space group P4/mmm (No. 123)
Symmetry-distinct sites (fractional):
Li: 0.0000 0.0000 0.0000 x1  4 S 2.26, 2 Cl 2.28
La: 0.5000 0.5000 0.5000 x1  4 Cl 3.20, 8 S 3.22
S: 0.0000 0.5000 0.0000 x2  2 Li 2.26
Cl: 0.0000 0.0000 0.5000 x1  2 Li 2.28

E_tot = -0.5924 Ha/atom
formation energy (no corrections) = -1.575 eV/atom

***

Entry 9:
Entry from Alexandria via LeMat-Bulk: TbAg3 at its PBEsol-relaxed geometry (SCAN).

Unit cell a=6.1685 b=6.1685 c=4.7830 alpha=90.00 beta=90.00 gamma=120.00
Closest atoms and distances in Å follow each position.
Space group P6_3/mmc (No. 194)
Symmetry-distinct sites (fractional):
Tb: 0.3333 0.6667 0.2500 x2  12 Ag 3.05-3.09
Ag: 0.1559 0.3118 0.7500 x6  6 Ag 2.88-2.91, 4 Tb 3.05-3.09

E_tot = -1.3024 Ha/atom
E above lowest polymorph = 8 meV/atom
calculated formation energy = -0.225 eV/atom

***

Entry 10:
Entry from Alexandria via LeMat-Bulk: SmIO at its PBEsol-relaxed geometry (SCAN).

Unit cell a=3.9774 b=3.9774 c=9.2735 alpha=90.00 beta=90.00 gamma=90.00
Closest atoms and distances in Å follow each position.
Space group P4/nmm (No. 129, origin choice 2)
Symmetry-distinct sites (fractional):
Sm: 0.2500 0.2500 0.1225 x2  4 O 2.29
I: 0.2500 0.2500 0.6758 x2  4 Sm 3.38, 4 O 3.60
O: 0.2500 0.7500 0.0000 x2  4 Sm 2.29

E_tot = -1.1801 Ha/atom
formation energy (no corrections) = -2.975 eV/atom

***

Entry 11:
Entry from Alexandria via LeMat-Bulk: ZrRe2Cl at its PBEsol-relaxed geometry (SCAN).

Unit cell a=5.1863 b=10.4459 c=2.9886 alpha=90.00 beta=124.74 gamma=90.00
Closest atoms and distances in Å follow each position.
Space group C2/m (No. 12)
Symmetry-distinct sites (fractional):
Zr: 0.0000 0.0000 0.0000 x2  4 Cl 2.59-2.61
Re: 0.2500 0.2500 0.5000 x4  4 Re 2.59-2.61
Cl: 0.0000 0.5000 0.0000 x2  4 Zr 2.59-2.61

E_tot = -1.6498 Ha/atom
E above lowest polymorph = 457 meV/atom
formation energy (no corrections) = 0.326 eV/atom

***

Entry 12:
Entry from Alexandria via LeMat-Bulk: CuSiNi2 at its PBEsol-relaxed geometry (SCAN).

Unit cell a=2.5853 b=2.5853 c=22.8020 alpha=90.00 beta=90.00 gamma=120.00
Closest atoms and distances in Å follow each position.
Space group R-3m (No. 166, hexagonal axes)
Symmetry-distinct sites (fractional):
Cu: 0.0000 0.0000 0.0000 x3  6 Ni 2.51, 6 Cu 2.59
Si: 0.0000 0.0000 0.5000 x3  6 Ni 2.32, 6 Si 2.59
Ni: 0.0000 0.0000 0.2447 x6  3 Si 2.32, 3 Cu 2.51, 6 Ni 2.59

E_tot = -0.5349 Ha/atom
formation energy (no corrections) = -0.166 eV/atom

***

Entry 13:
Entry from Alexandria via LeMat-Bulk: KNaNb2Ru at its PBEsol-relaxed geometry (SCAN).

Unit cell a=4.8784 b=4.8784 c=4.4417 alpha=90.00 beta=90.00 gamma=90.00
Closest atoms and distances in Å follow each position.
Space group P4/mmm (No. 123)
Symmetry-distinct sites (fractional):
K: 0.0000 0.0000 0.0000 x1  2 Na 2.22
Na: 0.0000 0.0000 0.5000 x1  2 K 2.22, 4 Nb 2.44
Nb: 0.0000 0.5000 0.5000 x2  2 Na 2.44
Ru: 0.5000 0.5000 0.0000 x1  8 Nb 3.30, 4 K 3.45

E_tot = -0.7419 Ha/atom
calculated formation energy = 2.537 eV/atom

***

Entry 14:
Entry from Alexandria via LeMat-Bulk: Bi3CI at its PBEsol-relaxed geometry (SCAN).

Unit cell a=5.0793 b=5.0793 c=5.0793 alpha=90.00 beta=90.00 gamma=90.00
Closest atoms and distances in Å follow each position.
Space group Pm-3m (No. 221)
Symmetry-distinct sites (fractional):
Bi: 0.0000 0.0000 0.5000 x3  2 C 2.54
C: 0.0000 0.0000 0.0000 x1  6 Bi 2.54
I: 0.5000 0.5000 0.5000 x1  12 Bi 3.59

E_tot = -2.0344 Ha/atom
formation energy (no corrections) = 1.158 eV/atom

***

Entry 15:
Entry from Alexandria via LeMat-Bulk: Nb3CdHg at its PBEsol-relaxed geometry (SCAN).

Unit cell a=5.0051 b=5.0051 c=5.0051 alpha=90.00 beta=90.00 gamma=90.00
Closest atoms and distances in Å follow each position.
Space group Pm-3m (No. 221)
Symmetry-distinct sites (fractional):
Nb: 0.0000 0.0000 0.5000 x3  2 Hg 2.50
Cd: 0.5000 0.5000 0.5000 x1  12 Nb 3.54
Hg: 0.0000 0.0000 0.0000 x1  6 Nb 2.50

E_tot = -1.3914 Ha/atom
calculated formation energy = 1.733 eV/atom

***

Entry 16:
Entry from Alexandria via LeMat-Bulk: Ta2TcAg at its PBEsol-relaxed geometry (SCAN).

Unit cell a=5.8921 b=6.9905 c=3.1748 alpha=90.00 beta=90.00 gamma=90.00
Closest atoms and distances in Å follow each position.
Space group Cmmm (No. 65)
Symmetry-distinct sites (fractional):
Ta: 0.2500 0.2500 0.0000 x4  4 Tc 2.78, 4 Ag 2.78, 2 Ta 2.95
Tc: 0.0000 0.0000 0.5000 x2  8 Ta 2.78, 2 Ag 2.95
Ag: 0.0000 0.5000 0.5000 x2  8 Ta 2.78, 2 Tc 2.95

E_tot = -1.8301 Ha/atom
E above lowest polymorph = 0 meV/atom
calculated formation energy = 0.099 eV/atom

***

Entry 17:
Entry from Alexandria via LeMat-Bulk: SrLi2Ge2 at its PBEsol-relaxed geometry (SCAN).

Unit cell a=4.3386 b=4.3386 c=11.1858 alpha=90.00 beta=90.00 gamma=90.00
Closest atoms and distances in Å follow each position.
Space group I4/mmm (No. 139)
Symmetry-distinct sites (fractional):
Sr: 0.0000 0.0000 0.0000 x2  8 Ge 3.30, 8 Li 3.54
Li: 0.0000 0.5000 0.2500 x4  4 Ge 2.69
Ge: 0.0000 0.0000 0.3924 x4  1 Ge 2.41, 4 Li 2.69

E_tot = -0.4969 Ha/atom
calculated formation energy = -0.476 eV/atom

***

Entry 18:
Entry from Alexandria via LeMat-Bulk: CaRe3Si at its PBEsol-relaxed geometry (SCAN).

Unit cell a=4.4929 b=4.4929 c=4.4929 alpha=90.00 beta=90.00 gamma=90.00
Closest atoms and distances in Å follow each position.
Space group Pm-3m (No. 221)
Symmetry-distinct sites (fractional):
Ca: 0.0000 0.0000 0.0000 x1  12 Re 3.18
Re: 0.0000 0.5000 0.5000 x3  2 Si 2.25
Si: 0.5000 0.5000 0.5000 x1  6 Re 2.25

E_tot = -1.6739 Ha/atom
formation energy (no corrections) = 1.044 eV/atom

***

Entry 19:
Entry from Alexandria via LeMat-Bulk: KHg2P at its PBEsol-relaxed geometry (SCAN).

Unit cell a=3.5297 b=4.9762 c=5.4222 alpha=90.00 beta=90.00 gamma=90.00
Closest atoms and distances in Å follow each position.
Space group Pmmm (No. 47)
Symmetry-distinct sites (fractional):
K: 0.0000 0.0000 0.0000 x1  4 Hg 3.05, 4 P 3.23
Hg: 0.0000 0.5000 0.5000 x1  4 P 3.05, 4 Hg 3.23
Hg: 0.5000 0.5000 0.0000 x1  4 K 3.05, 4 Hg 3.23
P: 0.5000 0.0000 0.5000 x1  4 Hg 3.05, 4 K 3.23

E_tot = -1.4191 Ha/atom
calculated formation energy = 0.149 eV/atom

***

Entry 20:
Entry from Alexandria via LeMat-Bulk: TlSbPb2 at its PBEsol-relaxed geometry (SCAN).

Unit cell a=3.7700 b=5.5101 c=10.9743 alpha=90.00 beta=90.00 gamma=90.00
Closest atoms and distances in Å follow each position.
Space group Cmmm (No. 65)
Symmetry-distinct sites (fractional):
Tl: 0.0000 0.0000 0.0000 x2  4 Tl 3.34, 4 Pb 3.40
Sb: 0.0000 0.0000 0.5000 x2  4 Pb 3.25, 4 Sb 3.34
Pb: 0.0000 0.5000 0.2582 x4  2 Sb 3.25, 4 Pb 3.34, 2 Tl 3.40

E_tot = -2.3964 Ha/atom
E above lowest polymorph = 69 meV/atom
formation energy (no corrections) = 0.086 eV/atom

***

Entry 21:
Entry from Alexandria via LeMat-Bulk: ScTa2AgCl at its PBEsol-relaxed geometry (SCAN).

Unit cell a=4.4950 b=4.4950 c=4.8057 alpha=90.00 beta=90.00 gamma=90.00
Closest atoms and distances in Å follow each position.
Space group P4/mmm (No. 123)
Symmetry-distinct sites (fractional):
Sc: 0.0000 0.0000 0.0000 x1  4 Ag 3.18, 8 Ta 3.29
Ta: 0.0000 0.5000 0.5000 x2  2 Cl 2.25
Ag: 0.5000 0.5000 0.0000 x1  2 Cl 2.40
Cl: 0.5000 0.5000 0.5000 x1  4 Ta 2.25, 2 Ag 2.40

E_tot = -1.3440 Ha/atom
formation energy (no corrections) = 0.778 eV/atom

***

Entry 22:
Entry from Alexandria via LeMat-Bulk: Ta7BiO19 at its PBEsol-relaxed geometry (SCAN).

Unit cell a=6.2222 b=6.2222 c=20.1522 alpha=90.00 beta=90.00 gamma=120.00
Closest atoms and distances in Å follow each position.
Space group P6_322 (No. 182)
Symmetry-distinct sites (fractional):
Ta: 0.0017 0.3618 0.4058 x12  6 O 1.91-2.04
Ta: 0.3333 0.6667 0.2500 x2  6 O 2.00
Bi: 0.3333 0.6667 0.7500 x2  6 O 2.41
O: 0.0000 0.3977 0.5000 x6  2 Ta 1.91
O: 0.0022 0.2478 0.9035 x12  2 Ta 1.98-1.99
O: 0.0466 0.4302 0.3063 x12  2 Ta 2.00-2.04
O: 0.3333 0.6667 0.0911 x4  3 Ta 1.99
O: 0.3333 0.6667 0.6140 x4  3 Ta 2.04

E_tot = -1.0085 Ha/atom
E above lowest polymorph = 9 meV/atom
formation energy (no corrections) = -2.885 eV/atom

***

Entry 23:
Entry from Alexandria via LeMat-Bulk: BaSc3Ge at its PBEsol-relaxed geometry (SCAN).

Unit cell a=5.1898 b=5.1898 c=5.1898 alpha=90.00 beta=90.00 gamma=90.00
Closest atoms and distances in Å follow each position.
Space group Pm-3m (No. 221)
Symmetry-distinct sites (fractional):
Ba: 0.0000 0.0000 0.0000 x1  6 Sc 2.59
Sc: 0.0000 0.0000 0.5000 x3  2 Ba 2.59
Ge: 0.5000 0.5000 0.5000 x1  12 Sc 3.67

E_tot = -0.6953 Ha/atom
calculated formation energy = 1.350 eV/atom

***

Entry 24:
Entry from Alexandria via LeMat-Bulk: PbW at its PBEsol-relaxed geometry (SCAN).

Unit cell a=6.8350 b=6.8350 c=6.8350 alpha=90.00 beta=90.00 gamma=90.00
Closest atoms and distances in Å follow each position.
Space group Fd-3m (No. 227, origin choice 2)
Symmetry-distinct sites (fractional):
Pb: 0.1250 0.1250 0.1250 x8  4 Pb 2.96, 4 W 2.96
W: 0.1250 0.1250 0.6250 x8  4 W 2.96, 4 Pb 2.96

E_tot = -2.6244 Ha/atom
calculated formation energy = 1.321 eV/atom

***

Entry 25:
Entry from Alexandria via LeMat-Bulk: Hf3MnN at its PBEsol-relaxed geometry (SCAN).

Unit cell a=4.6227 b=4.6227 c=4.6227 alpha=90.00 beta=90.00 gamma=90.00
Closest atoms and distances in Å follow each position.
Space group Pm-3m (No. 221)
Symmetry-distinct sites (fractional):
Hf: 0.0000 0.0000 0.5000 x3  2 Mn 2.31
Mn: 0.0000 0.0000 0.0000 x1  6 Hf 2.31
N: 0.5000 0.5000 0.5000 x1  12 Hf 3.27

E_tot = -1.5388 Ha/atom
formation energy (no corrections) = 1.241 eV/atom

***

Entry 26:
Entry from Alexandria via LeMat-Bulk: Te2IrPt at its PBEsol-relaxed geometry (SCAN).

Unit cell a=3.7665 b=3.7665 c=24.0001 alpha=90.00 beta=90.00 gamma=120.00
Closest atoms and distances in Å follow each position.
Space group R-3m (No. 166, hexagonal axes)
Symmetry-distinct sites (fractional):
Te: 0.0000 0.0000 0.1036 x6  1 Ir 2.49, 3 Pt 2.65
Ir: 0.0000 0.0000 0.0000 x3  2 Te 2.49
Pt: 0.0000 0.0000 0.5000 x3  6 Te 2.65

E_tot = -1.9674 Ha/atom
E above lowest polymorph = 659 meV/atom
formation energy (no corrections) = 0.412 eV/atom